# UTi2Ag2S6 PBE-GGA relaxed
data_UTi2Ag2S6
_chemical_formula_sum 'U2 Ti4 Ag4 S12'
_cell_length_a 6.4274
_cell_length_b 10.9292
_cell_length_c 6.7180
_cell_angle_alpha 90.00
_cell_angle_beta 93.23
_cell_angle_gamma 90.00
_symmetry_space_group_name_H-M 'C 1 2/m 1'
_symmetry_Int_Tables_number 12
loop_
_symmetry_equiv_pos_as_xyz
'x,y,z'
'-x,-y,-z'
'-x,y,-z'
'x,-y,z'
'x+1/2,y+1/2,z'
'-x+1/2,-y+1/2,-z'
'-x+1/2,y+1/2,-z'
'x+1/2,-y+1/2,z'
loop_
_atom_site_label
_atom_site_fract_x
_atom_site_fract_y
_atom_site_fract_z
_atom_site_occupancy
U1 0.0000 0.0000 0.0000 1
Ti1 0.0000 0.3464 0.0000 1
Ag1 0.0000 0.1322 0.5000 1
S1 0.1635 0.5000 0.2198 1
S2 0.1930 0.1811 0.2061 1
# volume: 471.17 Å³ per cell
# N(E_F): 12.7 states/eV/cell
# E_form (uncorrected): -993 meV/atom